A plane-wave DFT calculation with GGA-PBE was carried out for a relaxed GdDy2Ge3 crystal.

Output
SG	P-4m2 (115)
total DFT energy (no corrections)	-32.1	eV per formula unit
theoretical density	8.17	g/cm³

```
GdDy2Ge3
1.0
-0.9255 -3.7459 1.5778
1.8037 1.0716 3.6022
-7.1561 2.9125 2.7169
Ge Gd Dy
3 1 2
direct
0.5000 0.5000 0.0000
0.0000 0.5000 0.2891
0.5000 0.0000 0.7109
0.0000 0.0000 0.0000
0.5000 0.0000 0.3440
0.0000 0.5000 0.6560
```



A plane-wave DFT calculation with GGA-PBE was carried out for a relaxed Gd2Dy2GeI5 crystal.

Output
SG	C2/m (12)
total DFT energy (no corrections)	-42.8	eV per formula unit
theoretical density	6.38	g/cm³

```
Gd2Dy2GeI5
1.0
9.5967 -2.1132 0.0000
9.5967 2.1132 0.0000
-1.9553 0.0000 8.6376
I Dy Gd Ge
5 2 2 1
direct
0.1722 0.1722 0.8325
0.1673 0.1673 0.3343
0.8327 0.8327 0.6657
0.8278 0.8278 0.1675
0.5000 0.5000 0.5000
0.3540 0.3540 0.9259
0.6460 0.6460 0.0741
0.0000 0.0000 0.2135
0.0000 0.0000 0.7865
0.5000 0.5000 0.0000
```



A plane-wave DFT calculation with GGA-PBE was carried out for a relaxed GdDyGe2Ir crystal.

Output
SG	C2/m (12)
total DFT energy (no corrections)	-31.9	eV per formula unit
theoretical density	10.34	g/cm³

```
GdDyGe2Ir
1.0
-5.5794 -1.2103 0.0411
-3.6272 -2.3819 3.7103
2.2929 9.9142 1.9457
Ir Gd Ge Dy
2 2 4 2
direct
0.7285 0.7285 0.8356
0.2715 0.2715 0.1644
0.8098 0.8098 0.3817
0.1902 0.1902 0.6183
0.6473 0.6473 0.0529
0.3527 0.3527 0.9471
0.5201 0.5201 0.3843
0.4799 0.4799 0.6157
0.0083 0.0083 0.8299
0.9917 0.9917 0.1701
```



The lowest theoretical density belongs to which entry? Gd2Dy2GeI5



Which value of total DFT energy (no corrections) does entry 2 give? -42.8 eV per formula unit